Record 1
Computed, not measured: a geometry-optimized Mn3AsW structure at the PBE level of DFT.

a b c (Å): 4.6336 4.6336 4.6336
angles (deg): 90.00 90.00 90.00
Atoms (fractional coordinates):
W 0.0000 0.0000 0.0000
As 0.5000 0.5000 0.5000
Mn 0.0000 0.0000 0.5000
Mn 0.0000 0.5000 0.0000
Mn 0.5000 0.0000 0.0000

V in Å³/cell: 99.5
Symmetry: Pm-3m, No. 221
Total energy in eV/atom: -7.643
Energy relative to the lowest polymorph listed for this composition in meV/atom: 229

Record 2
Computed, not measured: a geometry-optimized MnAsW2 structure at the PBE level of DFT.

a b c (Å): 4.2876 2.8733 4.9622
angles (deg): 74.14 90.00 90.00
Atoms (fractional coordinates):
W 0.0000 0.9811 0.9771
W 0.5000 0.2030 0.2546
As 0.0000 0.6722 0.5156
Mn 0.5000 0.6437 0.7527

V in Å³/cell: 58.8
Symmetry: Pm, No. 6
Total energy in eV/atom: -9.690

Record 3
Computed, not measured: a geometry-optimized MnAsW2 structure at the PBE level of DFT.

a b c (Å): 3.2045 3.2215 5.7553
angles (deg): 90.00 90.00 90.00
Atoms (fractional coordinates):
As 0.0000 0.0000 0.5046
W 0.5000 0.5000 0.2657
W 0.0000 0.0000 0.9720
Mn 0.5000 0.5000 0.7577

V in Å³/cell: 59.4
Symmetry: Pmm2, No. 25
Total energy in eV/atom: -9.745